VASP calculation (PBE-GGA) on LiErNpO4 after structural relaxation.

It has space group Cmcm (No. 63), with a = 6.137 Å, b = 9.394 Å, c = 7.006 Å, α = 90.00°, β = 90.00° and γ = 90.00°. The asymmetric unit holds Li at (0.000, 0.162, 0.250), Er at (0.000, 0.157, 0.750), Np at (0.000, 0.500, 0.000), O at (0.000, 0.275, 0.012) and O at (0.248, 0.006, 0.250).

For the uncorrected formation energy, the calculation gives -2.86 eV/atom.

=====

VASP calculation (PBE-GGA) on RbTa3Zn after structural relaxation.

It has space group Pm-3m (No. 221), with a = 4.956 Å, b = 4.956 Å, c = 4.956 Å, α = 90.00°, β = 90.00° and γ = 90.00°. The asymmetric unit holds Rb at (0.000, 0.000, 0.000), Ta at (0.000, 0.500, 0.500) and Zn at (0.500, 0.500, 0.500).

The offset from the most stable computed form comes out at 0 meV/atom. The calculation puts the formation enthalpy at 0 K at 1.982 eV/atom.

=====

VASP calculation (PBE-GGA) on TbAlPt3 after structural relaxation.

It has space group Pbam (No. 55), with a = 6.082 Å, b = 6.425 Å, c = 5.123 Å, α = 90.00°, β = 90.00° and γ = 90.00°. The asymmetric unit holds Tb at (0.000, 0.000, 0.000), Al at (0.000, 0.500, 0.500), Pt at (0.000, 0.500, 0.000) and Pt at (0.144, 0.156, 0.500).

The calculation puts the formation enthalpy at 0 K at -0.737 eV/atom.

=====

Total energy for every record listed, in sequence, given in eV/atom: -8.465, -5.577, -6.037.
Magnetic moment for every record listed, in sequence, given in μB per cell: 12.0, 1.8, 0.0.